[1]
VASP calculation (GGA-PBE) on a geometry-optimized Na2HfNi structure.

Computed properties:
The value obtained for the volume is 80.19 Å³/cell. For the density of states at the Fermi level, the calculation gives 1.372 states/eV/atom. As for the crystal system: cubic. The energy above the most stable polymorph in this dataset is 237 meV per atom. The formation enthalpy at 0 K comes out at 4.30 eV/f.u.

abc: 4.840 4.840 4.840
angles: 60.00 60.00 60.00
Element x y z (fractional)
Na 0.250 0.250 0.250
Na 0.750 0.750 0.750
Hf 0.000 0.000 0.000
Ni 0.500 0.500 0.500

[2]
VASP calculation (GGA-PBE) on a geometry-optimized La3BiIr structure.

Computed properties:
The value obtained for the volume is 337.60 Å³/cell. For the density of states at the Fermi level, the calculation gives 0.849 states/eV/atom. As for the crystal system: orthorhombic. The energy above the most stable polymorph in this dataset is 106 meV per atom. The formation enthalpy at 0 K comes out at -3.62 eV/f.u.

abc: 9.097 9.097 4.328
angles: 90.00 90.00 109.50
Element x y z (fractional)
La 0.175 0.825 0.000
La 0.178 0.430 0.500
La 0.430 0.178 0.500
La 0.570 0.822 0.500
La 0.822 0.570 0.500
La 0.825 0.175 0.000
Bi 0.000 0.000 0.500
Bi 0.500 0.500 0.000
Ir 0.000 0.500 0.000
Ir 0.500 0.000 0.000

[3]
VASP calculation (GGA-PBE) on a geometry-optimized SrCr2Os structure.

Computed properties:
The value obtained for the volume is 67.92 Å³/cell. For the density of states at the Fermi level, the calculation gives 1.553 states/eV/atom. As for the crystal system: tetragonal. The energy above the most stable polymorph in this dataset is 557 meV per atom. The formation enthalpy at 0 K comes out at 4.59 eV/f.u.

abc: 4.722 4.722 3.046
angles: 90.00 90.00 90.00
Element x y z (fractional)
Sr 0.000 0.000 0.000
Cr 0.000 0.500 0.500
Cr 0.500 0.000 0.500
Os 0.500 0.500 0.000

Which of these has the highest formation enthalpy at 0 K? SrCr2Os